# SiTcRu2

An optimized crystal structure of SiTcRu2 (PBE, Alexandria).

Properties
- Raw total energy: -8.5409 eV/atom
- Total magnetization: 0.01 μB/cell

Lattice parameters (Å, degrees): 3.947 3.947 3.543 90.00 90.00 90.00
Positions (direct):
Si 0.000 0.000 0.000
Tc 0.500 0.500 0.000
Ru 0.000 0.500 0.500
Ru 0.500 0.000 0.500


# SiTcRu2

An optimized crystal structure of SiTcRu2 (PBE, Alexandria).

Properties
- Raw total energy: -8.7112 eV/atom
- Total magnetization: 0.00 μB/cell

Lattice parameters (Å, degrees): 2.782 3.731 5.293 90.00 90.00 90.00
Positions (direct):
Si 0.000 0.000 0.000
Tc 0.000 0.000 0.500
Ru 0.500 0.500 0.245
Ru 0.500 0.500 0.755


# SiTcRu2

An optimized crystal structure of SiTcRu2 (PBE, Alexandria).

Properties
- Raw total energy: -8.7025 eV/atom
- Total magnetization: 0.00 μB/cell

Lattice parameters (Å, degrees): 4.743 4.743 4.743 133.71 133.71 67.54
Positions (direct):
Si 0.000 0.000 0.000
Tc 0.250 0.750 0.500
Ru 0.500 0.500 0.000
Ru 0.750 0.250 0.500


# Si2TcRu

An optimized crystal structure of Si2TcRu (PBE, Alexandria).

Properties
- Raw total energy: -7.7265 eV/atom
- Total magnetization: 0.00 μB/cell

Lattice parameters (Å, degrees): 8.012 8.012 8.012 20.58 20.58 20.58
Positions (direct):
Si 0.000 0.000 0.000
Si 0.248 0.248 0.248
Tc 0.502 0.502 0.502
Ru 0.743 0.743 0.743


# SiTcRu2

An optimized crystal structure of SiTcRu2 (PBE, Alexandria).

Properties
- Raw total energy: -8.7706 eV/atom
- Total magnetization: 0.00 μB/cell

Lattice parameters (Å, degrees): 2.760 3.978 5.170 90.00 104.13 90.00
Positions (direct):
Si 0.000 0.000 0.000
Tc 0.000 0.000 0.500
Ru 0.378 0.500 0.238
Ru 0.622 0.500 0.762


# Si2TcRu3

An optimized crystal structure of Si2TcRu3 (PBE, Alexandria).

Properties
- Raw total energy: -8.6066 eV/atom
- Total magnetization: 0.00 μB/cell

Lattice parameters (Å, degrees): 2.879 2.879 9.530 90.00 90.00 90.00
Positions (direct):
Si 0.000 0.000 0.158
Si 0.000 0.000 0.842
Tc 0.000 0.000 0.500
Ru 0.500 0.500 0.000
Ru 0.500 0.500 0.307
Ru 0.500 0.500 0.693